Entry i
Crystalline TbPmAu3 at its relaxed geometry. Source: Alexandria via LeMat-Bulk, functional PBE.

a b c (Å): 15.355 8.064 7.801
angles (deg): 90.00 90.00 90.00
Space group Cmcm (No. 63)
Symmetry-distinct sites (fractional):
1 Tb 0.000 0.069 0.250
2 Tb 0.000 0.412 0.750
3 Pm 0.230 0.292 0.750
4 Au 0.106 0.333 0.062
5 Au 0.156 0.000 0.000

M_tot = 0.00 μB/cell

Entry ii
Crystalline TbPmAu3 at its relaxed geometry. Source: Alexandria via LeMat-Bulk, functional PBE.

a b c (Å): 9.505 6.419 7.692
angles (deg): 90.00 93.20 90.00
Space group P2_1/c (No. 14)
Symmetry-distinct sites (fractional):
1 Tb 0.075 0.173 0.322
2 Pm 0.397 0.651 0.807
3 Au 0.136 0.613 0.484
4 Au 0.239 0.010 0.629
5 Au 0.379 0.150 0.961

M_tot = 0.00 μB/cell

Which of them is the least stable? Correct choice: entry i.

Entry i
Crystalline TbPm2Au4 at its relaxed geometry. Source: Alexandria via LeMat-Bulk, functional PBE.

a b c (Å): 5.335 5.335 15.056
angles (deg): 90.00 90.00 90.00
Space group I4/mmm (No. 139)
Symmetry-distinct sites (fractional):
1 Tb 0.000 0.000 0.000
2 Pm 0.000 0.000 0.380
3 Au 0.000 0.000 0.187
4 Au 0.000 0.500 0.000

M_tot = 0.00 μB/cell

Entry ii
Crystalline TbPm2Au4 at its relaxed geometry. Source: Alexandria via LeMat-Bulk, functional PBE.

a b c (Å): 5.276 5.276 13.038
angles (deg): 90.00 90.00 90.00
Space group I4/mmm (No. 139)
Symmetry-distinct sites (fractional):
1 Tb 0.000 0.000 0.000
2 Pm 0.000 0.000 0.278
3 Au 0.000 0.500 0.116

M_tot = 0.00 μB/cell

Which of them is the least stable? Correct choice: entry i.

Entry i
Crystalline TbPmAu2 at its relaxed geometry. Source: Alexandria via LeMat-Bulk, functional PBE.

a b c (Å): 4.745 3.799 11.164
angles (deg): 90.00 90.00 90.00
Space group Amm2 (No. 38)
Symmetry-distinct sites (fractional):
1 Tb 0.000 0.000 0.000
2 Pm 0.500 0.000 0.276
3 Au 0.000 0.000 0.724
4 Au 0.500 0.000 0.549

M_tot = 0.00 μB/cell

Entry ii
Crystalline TbPmAu2 at its relaxed geometry. Source: Alexandria via LeMat-Bulk, functional PBE.

a b c (Å): 7.314 7.314 7.314
angles (deg): 90.00 90.00 90.00
Space group Fm-3m (No. 225)
Symmetry-distinct sites (fractional):
1 Tb 0.000 0.000 0.000
2 Pm 0.000 0.000 0.500
3 Au 0.250 0.250 0.250

M_tot = 0.00 μB/cell

Entry iii
Crystalline TbPmAu2 at its relaxed geometry. Source: Alexandria via LeMat-Bulk, functional PBE.

a b c (Å): 3.632 3.632 7.383
angles (deg): 90.00 90.00 90.00
Space group P4/mmm (No. 123)
Symmetry-distinct sites (fractional):
1 Tb 0.000 0.000 0.000
2 Pm 0.000 0.000 0.500
3 Au 0.500 0.500 0.235

M_tot = 0.00 μB/cell

Which of them is the least stable? Correct choice: entry ii.